[1]
## LaAlP2 (PBE)

Data for a relaxed LaAlP2 crystal.

abc: 3.9629 5.9037 7.2715
angles: 90.00 90.00 90.00
Closest atoms and distances in Å follow each position.
Space group Immm (No. 71)
Asymmetric unit:
1 La 0.0000 0.0000 0.0000 (multiplicity 2)  4 P 2.93
2 Al 0.0000 0.0000 0.5000 (multiplicity 2)  4 P 2.47
3 P 0.0000 0.5000 0.2034 (multiplicity 4)  2 Al 2.47

DFT formation energy = -0.62 eV per atom
E_tot = -43.960 eV per cell
V = 170 Å³/cell
Size of the total moment = 0.00 μB per atom
Calculated density = 4.45 g/cm³
Crystal system = orthorhombic



[2]
## MnIn2Ir (PBE)

Data for a relaxed MnIn2Ir crystal.

abc: 7.5082 7.5082 5.6694
angles: 90.00 90.00 90.00
Closest atoms and distances in Å follow each position.
Space group I-42d (No. 122)
Asymmetric unit:
1 Mn 0.0000 0.0000 0.0000 (multiplicity 4)  4 In 2.82, 2 Ir 2.83
2 In 0.2362 0.2500 0.6250 (multiplicity 8)  2 Ir 2.68, 2 Mn 2.82, 2 In 2.84
3 Ir 0.0000 0.0000 0.5000 (multiplicity 4)  4 In 2.68, 2 Mn 2.83

DFT formation energy = 0.41 eV per atom
E_tot = -87.447 eV per cell
V = 320 Å³/cell
Size of the total moment = 0.96 μB per atom
Calculated density = 9.91 g/cm³
Crystal system = tetragonal



[3]
## BaCaNdBiO6 (PBE)

Data for a relaxed BaCaNdBiO6 crystal.

abc: 6.0576 6.1517 8.7178
angles: 90.00 89.83 89.91
Closest atoms and distances in Å follow each position.
Space group P-1 (No. 2)
Asymmetric unit:
1 Ba 0.0081 0.4631 0.2496 (multiplicity 2)  8 O 2.67-2.95
2 Ca 0.4990 0.9665 0.2495 (multiplicity 2)  4 O 2.37-2.44
3 Nd 0.0000 0.0000 0.0000 (multiplicity 1)  6 O 2.30-2.40
4 Nd 0.5000 0.5000 0.5000 (multiplicity 1)  6 O 2.32-2.39
5 Bi 0.0000 0.0000 0.5000 (multiplicity 1)  6 O 2.12-2.18
6 Bi 0.5000 0.5000 0.0000 (multiplicity 1)  6 O 2.12-2.18
7 O 0.1118 0.9968 0.7372 (multiplicity 2)  1 Bi 2.18, 1 Ca 2.37, 1 Nd 2.39
8 O 0.1863 0.7109 0.4675 (multiplicity 2)  1 Bi 2.12, 1 Nd 2.32
9 O 0.2078 0.6881 0.0244 (multiplicity 2)  1 Bi 2.12, 1 Nd 2.30
10 O 0.2925 0.1822 0.4349 (multiplicity 2)  1 Bi 2.17, 1 Nd 2.39
11 O 0.3227 0.2050 0.0644 (multiplicity 2)  1 Bi 2.18, 1 Nd 2.40, 1 Ca 2.43
12 O 0.4345 0.4246 0.7622 (multiplicity 2)  1 Bi 2.16, 1 Nd 2.36

E_tot = -131.144 eV per cell
V = 325 Å³/cell
Size of the total moment = 0.00 μB per atom
Calculated density = 6.41 g/cm³
Crystal system = triclinic



[4]
## La2HgBiRu (PBE)

Data for a relaxed La2HgBiRu crystal.

abc: 5.3895 5.3895 5.2276
angles: 90.00 90.00 90.00
Closest atoms and distances in Å follow each position.
Space group P4/mmm (No. 123)
Asymmetric unit:
1 La 0.0000 0.5000 0.0000 (multiplicity 2)  2 Ru 2.69
2 Hg 0.0000 0.0000 0.5000 (multiplicity 1)  2 Ru 2.61
3 Bi 0.5000 0.5000 0.5000 (multiplicity 1)  8 La 3.75, 4 Hg 3.81
4 Ru 0.0000 0.0000 0.0000 (multiplicity 1)  2 Hg 2.61, 4 La 2.69

DFT formation energy = -0.43 eV per atom
E_tot = -25.445 eV per cell
V = 152 Å³/cell
Size of the total moment = 0.00 μB per atom
Calculated density = 8.62 g/cm³
Crystal system = tetragonal



[5]
## Nd4SmDy2Tm2 (PBE)

Data for a relaxed Nd4SmDy2Tm2 crystal.

abc: 15.2999 5.0839 8.0448
angles: 90.00 108.35 90.00
Closest atoms and distances in Å follow each position.
Space group C2/m (No. 12)
Asymmetric unit:
1 Nd 0.0540 0.0000 0.3309 (multiplicity 4)  2 Sm 3.58, 4 Dy 3.59-3.62, 2 Tm 3.60-3.62, 4 Nd 3.60-3.63
2 Nd 0.2230 0.5000 0.3311 (multiplicity 4)  3 Tm 3.55-3.59, 3 Dy 3.59-3.64, 1 Sm 3.61, 5 Nd 3.62-3.63
3 Sm 0.0000 0.5000 0.0000 (multiplicity 2)  6 Nd 3.58-3.61, 2 Dy 3.59, 4 Tm 3.62
4 Dy 0.1116 0.5000 0.6690 (multiplicity 4)  3 Tm 3.58, 1 Sm 3.59, 7 Nd 3.59-3.64, 1 Dy 3.63
5 Tm 0.1682 0.0000 0.9995 (multiplicity 4)  5 Nd 3.55-3.62, 2 Tm 3.57, 3 Dy 3.58, 2 Sm 3.62

DFT formation energy = 0.02 eV per atom
E_tot = -83.507 eV per cell
V = 594 Å³/cell
Size of the total moment = 0.00 μB per atom
Calculated density = 7.77 g/cm³
Crystal system = monoclinic



[6]
## BaSc2Al (PBE)

Data for a relaxed BaSc2Al crystal.

abc: 3.7260 5.2423 5.6037
angles: 90.00 90.00 90.00
Closest atoms and distances in Å follow each position.
Space group Pmmm (No. 47)
Asymmetric unit:
1 Ba 0.0000 0.0000 0.0000 (multiplicity 1)  4 Sc 3.22, 4 Al 3.36
2 Sc 0.0000 0.5000 0.5000 (multiplicity 1)  4 Al 3.22, 4 Sc 3.36
3 Sc 0.5000 0.5000 0.0000 (multiplicity 1)  4 Ba 3.22, 4 Sc 3.36
4 Al 0.5000 0.0000 0.5000 (multiplicity 1)  4 Sc 3.22, 4 Ba 3.36

DFT formation energy = 0.23 eV per atom
E_tot = -17.394 eV per cell
V = 109 Å³/cell
Size of the total moment = 0.00 μB per atom
Calculated density = 3.86 g/cm³
Crystal system = orthorhombic



[7]
## Na2CdReMo (PBE)

Data for a relaxed Na2CdReMo crystal.

abc: 5.0314 5.0314 5.1828
angles: 90.00 90.00 90.00
Closest atoms and distances in Å follow each position.
Space group P4/mmm (No. 123)
Asymmetric unit:
1 Na 0.0000 0.5000 0.0000 (multiplicity 2)  2 Mo 2.52
2 Cd 0.0000 0.0000 0.5000 (multiplicity 1)  2 Mo 2.59
3 Re 0.5000 0.5000 0.5000 (multiplicity 1)  4 Cd 3.56, 8 Na 3.61
4 Mo 0.0000 0.0000 0.0000 (multiplicity 1)  4 Na 2.52, 2 Cd 2.59

DFT formation energy = 2.76 eV per atom
E_tot = -13.052 eV per cell
V = 131 Å³/cell
Size of the total moment = 0.09 μB per atom
Calculated density = 5.58 g/cm³
Crystal system = tetragonal



[8]
## KNiAgAs (PBE)

Data for a relaxed KNiAgAs crystal.

abc: 4.0021 4.0021 12.1317
angles: 90.00 90.00 90.00
Closest atoms and distances in Å follow each position.
Space group P4/nmm (No. 129, origin choice 2)
Asymmetric unit:
1 K 0.2500 0.2500 0.2457 (multiplicity 2)  4 As 3.40, 4 Ag 3.59, 4 Ni 3.68
2 Ni 0.2500 0.7500 0.5000 (multiplicity 2)  4 As 2.34
3 Ag 0.2500 0.7500 0.0000 (multiplicity 2)  4 Ag 2.83
4 As 0.2500 0.2500 0.5996 (multiplicity 2)  4 Ni 2.34

DFT formation energy = -0.21 eV per atom
E_tot = -30.445 eV per cell
V = 194 Å³/cell
Size of the total moment = 0.00 μB per atom
Calculated density = 4.80 g/cm³
Crystal system = tetragonal